# PBE Mg2InO2, relaxed
data_Mg2InO2
_cell_length_a 7.240
_cell_length_b 7.240
_cell_length_c 2.856
_cell_angle_alpha 90.00
_cell_angle_beta 90.00
_cell_angle_gamma 90.00
_space_group_name_H-M_alt 'P 1'
_space_group_IT_number 1
_space_group_name_Hall 'P 1'
loop_
_atom_site_label
_atom_site_fract_x
_atom_site_fract_y
_atom_site_fract_z
Mg1 0.384 0.884 0.000
Mg2 0.884 0.616 0.000
Mg3 0.616 0.116 0.000
Mg4 0.116 0.384 0.000
O1 0.121 0.621 0.500
O2 0.621 0.879 0.500
O3 0.879 0.379 0.500
O4 0.379 0.121 0.500
In1 0.000 0.000 0.000
In2 0.500 0.500 0.000
# Formation energy from raw total energies = -0.901 eV per atom
# Fermi-level density of states = 0.24 states/eV/atom

---

# PBE ScGePtAu, relaxed
data_ScGePtAu
_cell_length_a 4.654
_cell_length_b 4.654
_cell_length_c 4.654
_cell_angle_alpha 60.00
_cell_angle_beta 60.00
_cell_angle_gamma 60.00
_space_group_name_H-M_alt 'P 1'
_space_group_IT_number 1
_space_group_name_Hall 'P 1'
loop_
_atom_site_label
_atom_site_fract_x
_atom_site_fract_y
_atom_site_fract_z
Sc1 0.250 0.250 0.250
Ge1 0.750 0.750 0.750
Au1 0.000 0.000 0.000
Pt1 0.500 0.500 0.500
# Calculated formation energy = -644 meV/atom
# Fermi-level density of states = 0.46 states/eV/atom

---

# PBE SrAl3Sn3, relaxed
data_SrAl3Sn3
_cell_length_a 7.626
_cell_length_b 7.626
_cell_length_c 7.626
_cell_angle_alpha 90.00
_cell_angle_beta 90.00
_cell_angle_gamma 90.00
_space_group_name_H-M_alt 'P 1'
_space_group_IT_number 1
_space_group_name_Hall 'P 1'
loop_
_atom_site_label
_atom_site_fract_x
_atom_site_fract_y
_atom_site_fract_z
Sr1 0.500 0.500 0.500
Sr2 0.000 0.000 0.000
Sn1 0.250 0.000 0.500
Sn2 0.000 0.500 0.250
Sn3 0.500 0.750 0.000
Sn4 0.750 0.000 0.500
Sn5 0.000 0.500 0.750
Sn6 0.500 0.250 0.000
Al1 0.000 0.250 0.500
Al2 0.000 0.750 0.500
Al3 0.500 0.000 0.750
Al4 0.750 0.500 0.000
Al5 0.500 0.000 0.250
Al6 0.250 0.500 0.000
# Calculated formation energy = 50 meV/atom
# Fermi-level density of states = 0.34 states/eV/atom

---

# PBE Li3PuPd7, relaxed
data_Li3PuPd7
_cell_length_a 5.312
_cell_length_b 6.991
_cell_length_c 6.991
_cell_angle_alpha 81.20
_cell_angle_beta 122.25
_cell_angle_gamma 122.25
_space_group_name_H-M_alt 'P 1'
_space_group_IT_number 1
_space_group_name_Hall 'P 1'
loop_
_atom_site_label
_atom_site_fract_x
_atom_site_fract_y
_atom_site_fract_z
Li1 0.000 0.772 0.228
Li2 0.500 0.000 0.000
Li3 0.000 0.228 0.772
Pu1 0.500 0.500 0.500
Pd1 0.317 0.181 0.181
Pd2 0.324 0.041 0.585
Pd3 0.676 0.415 0.959
Pd4 0.324 0.585 0.041
Pd5 0.000 0.500 0.500
Pd6 0.676 0.959 0.415
Pd7 0.683 0.819 0.819
# Calculated formation energy = -222 meV/atom
# Fermi-level density of states = 1.25 states/eV/atom